Compound: CaCeOs
Source: Alexandria via LeMat-Bulk
Functional: GGA-PBE
Structure: relaxed

a b c (Å): 7.154 7.154 7.154
angles (deg): 152.25 152.25 39.65
Fractional positions:
Ca  0.000  0.000  0.000
Ce  0.748  0.748  0.000
Os  0.355  0.355  0.000

Output
The value obtained for the energy is -6.386 eV per atom. The calculated formation energy is 0.00 eV per atom. The value obtained for the total magnetization is 0.00 μB per formula unit. As for the density: 7.76 g/cm3. For the density of states at the Fermi level, the calculation gives 0.927 states/eV/atom. As for the energy above the most stable polymorph in this dataset: 0 meV/atom.

=====

Compound: AlCd3Ni
Source: Alexandria via LeMat-Bulk
Functional: GGA-PBE
Structure: relaxed

a b c (Å): 4.961 4.961 4.961
angles (deg): 90.00 90.00 90.00
Fractional positions:
Al  0.000  0.000  0.000
Cd  0.000  0.500  0.500
Cd  0.500  0.000  0.500
Cd  0.500  0.500  0.000
Ni  0.500  0.500  0.500

Output
The value obtained for the energy is -2.090 eV per atom. The calculated formation energy is 0.36 eV per atom. The value obtained for the total magnetization is 0.00 μB per formula unit. As for the density: 5.75 g/cm3. For the density of states at the Fermi level, the calculation gives 0.521 states/eV/atom. As for the energy above the most stable polymorph in this dataset: 0 meV/atom.